## DyPt6 (PBE)

Data for a relaxed DyPt6 crystal.

Its energy relative to the elements is 24.9 kcal/mol of atoms. The value obtained for the volume is 222.9 Å³/cell. The final energy is -33.28 eV/cell.

It has space group Pm-3m (No. 221), with a = 6.063 Å, b = 6.063 Å, c = 6.063 Å, α = 90.00°, β = 90.00° and γ = 90.00°. Symmetry generates all atoms from Dy at (0.000, 0.000, 0.000) and Pt at (0.196, 0.500, 0.500).